[1]
PBE Sr2SnAs, optimized geometry; density = 5.0 g/cm3; total magnetic moment = 0.00 μB/atom; formation enthalpy at 0 K = -2.962 eV per formula unit; space group = P4/mmm, No. 123
1.0
-1.472 -0.760 3.719
3.733 0.429 1.566
-1.230 7.150 0.974
Sr As Sn
2 1 1
direct
0.000 0.000 0.778
0.000 0.000 0.222
0.500 0.500 0.000
0.500 0.500 0.500



[2]
PBE Sb2RhPb, optimized geometry; density = 9.3 g/cm3; formation energy from raw total energies = -0.0328 eV/atom; total magnetic moment = 0.00 μB/atom; space group = Immm, No. 71
1.0
-1.653 2.618 5.711
1.653 -2.618 5.711
1.653 2.618 -5.711
Sb Rh Pb
2 1 1
direct
0.811 0.811 0.000
0.189 0.189 0.000
0.000 0.500 0.500
0.500 0.000 0.500



[3]
PBE Dy2VZn, optimized geometry; density = 7.5 g/cm3; total magnetic moment = 0.87 μB/atom; formation enthalpy at 0 K = 2.219 eV per formula unit; space group = R-3m, No. 166
1.0
-0.777 -1.166 -2.956
-1.728 -2.765 -0.265
-9.776 4.263 -0.924
Zn V Dy
1 1 2
direct
0.500 0.500 0.500
0.000 0.000 0.000
0.091 0.091 0.727
0.909 0.909 0.273



[4]
PBE La2Tb5Pr12, optimized geometry; density = 6.8 g/cm3; total magnetic moment = 0.00 μB/atom; formation enthalpy at 0 K = 2.223 eV per formula unit; space group = C2/m, No. 12
1.0
10.158 0.000 0.000
-5.079 8.199 -0.387
0.000 0.486 8.132
La Tb Pr
2 5 12
direct
0.784 0.000 0.000
0.216 0.000 0.000
0.249 0.498 0.511
0.353 0.705 0.082
0.000 0.000 0.500
0.647 0.295 0.918
0.751 0.502 0.489
0.837 0.674 0.124
0.037 0.619 0.790
0.582 0.619 0.790
0.168 0.788 0.388
0.621 0.788 0.388
0.449 0.898 0.714
0.551 0.102 0.286
0.832 0.212 0.612
0.379 0.212 0.612
0.963 0.381 0.210
0.418 0.381 0.210
0.163 0.326 0.876



[5]
PBE Mg2ReMo, optimized geometry; density = 8.3 g/cm3; total magnetic moment = 0.00 μB/atom; formation enthalpy at 0 K = 1.244 eV per formula unit; space group = P2/m, No. 10
1.0
4.668 0.000 0.000
0.000 2.697 -0.017
0.000 1.390 5.227
Mg Mo Re
2 1 1
direct
0.000 0.983 0.997
0.000 0.517 0.503
0.500 0.250 0.250
0.500 0.750 0.750



[6]
PBE Tb14PmPu, optimized geometry; density = 8.5 g/cm3; total magnetic moment = 0.39 μB/atom; formation enthalpy at 0 K = 0.604 eV per formula unit; space group = P4/mmm, No. 123
1.0
7.061 0.948 0.000
-0.947 7.062 0.000
0.000 0.000 10.020
Tb Pm Pu
14 1 1
direct
0.375 0.625 0.500
0.875 0.125 0.500
0.875 0.625 0.000
0.875 0.625 0.500
0.375 0.125 0.000
0.375 0.125 0.500
0.627 0.877 0.751
0.627 0.877 0.249
0.123 0.373 0.751
0.123 0.373 0.249
0.123 0.877 0.751
0.123 0.877 0.249
0.627 0.373 0.751
0.627 0.373 0.249
0.375 0.625 0.000
0.875 0.125 0.000



> Which formula does entry 1 have?

Sr2SnAs